(1)
Li2MgTe: relaxed, PBE.

```
Li2MgTe
1.0
4.180 0.000 0.000
0.000 4.180 0.000
0.000 0.000 9.668
Li Mg Te
4 2 2
direct
0.000 0.000 0.000
0.000 0.500 0.250
0.500 0.000 0.750
0.500 0.500 0.500
0.000 0.500 0.750
0.500 0.000 0.250
0.000 0.000 0.500
0.500 0.500 0.000
```

Summary:
symmetry = I-4m2, No. 119
formation energy from raw total energies = -168 kJ/mol of formula units
volume = 21.1 Å³ per atom

***

(2)
Ac2IrRhO8: relaxed, PBE.

```
Ac2IrRhO8
1.0
5.142 0.000 0.000
1.594 6.074 0.000
2.179 0.968 5.829
Ac Ir Rh O
2 1 1 8
direct
0.127 0.183 0.151
0.873 0.817 0.849
0.500 0.500 0.500
0.500 0.000 0.500
0.266 0.810 0.448
0.267 0.476 0.811
0.287 0.314 0.440
0.309 0.954 0.843
0.691 0.046 0.157
0.713 0.686 0.560
0.733 0.524 0.189
0.734 0.190 0.552
```

Summary:
symmetry = P-1, No. 2
formation energy from raw total energies = -2120 kJ/mol of formula units
volume = 15.2 Å³ per atom

***

(3)
HoEr3Bi: relaxed, PBE.

```
HoEr3Bi
1.0
6.024 -2.849 0.000
6.024 2.849 0.000
-0.047 0.000 9.076
Ho Er Bi
2 6 2
direct
0.110 0.110 0.096
0.890 0.890 0.904
0.098 0.098 0.660
0.386 0.386 0.088
0.408 0.408 0.661
0.592 0.592 0.339
0.614 0.614 0.912
0.902 0.902 0.340
0.254 0.254 0.376
0.746 0.746 0.624
```

Summary:
symmetry = C2/m, No. 12
volume = 31.2 Å³ per atom
E = -0.334 Ry/atom